LiHf12Sn6: optimized geometry, PBE.

Cell and atoms, written as POSCAR:
```
LiHf12Sn6
1.0
5.279 3.048 4.303
-5.279 3.048 4.303
0.000 -6.096 4.303
Li Hf Sn
1 12 6
Direct
0.000 0.000 0.000
0.064 0.381 0.144
0.144 0.064 0.381
0.196 0.555 0.481
0.381 0.144 0.064
0.445 0.519 0.804
0.481 0.196 0.555
0.519 0.804 0.445
0.555 0.481 0.196
0.619 0.856 0.936
0.804 0.445 0.519
0.856 0.936 0.619
0.936 0.619 0.856
0.127 0.271 0.745
0.255 0.873 0.729
0.271 0.745 0.127
0.729 0.255 0.873
0.745 0.127 0.271
0.873 0.729 0.255
```

Values from the calculation:
V: 415.4 Å³/cell
uncorrected energy: -148.132 eV for the cell shown
SG: R-3
crystal system: trigonal